Version a
BaTiRe3 | GGA-PBE | optimized geometry

Calculated values
Total magnetization ... 3.56 μB/f.u.

Cell: 4.8179 4.8179 4.8179 Å, 90.00 90.00 90.00°
Space group Pm-3m (No. 221)
One atom of each set of equivalent atoms:
Ba: 0.0000 0.0000 0.0000 (multiplicity 1)
Ti: 0.5000 0.5000 0.5000 (multiplicity 1)
Re: 0.0000 0.5000 0.5000 (multiplicity 3)

Version b
BaTiRe3 | GGA-PBE | optimized geometry

Calculated values
Total magnetization ... 0.01 μB/f.u.

Cell: 4.9090 4.9090 4.9090 Å, 90.00 90.00 90.00°
Space group Pm-3m (No. 221)
One atom of each set of equivalent atoms:
Ba: 0.0000 0.0000 0.0000 (multiplicity 1)
Ti: 0.5000 0.5000 0.5000 (multiplicity 1)
Re: 0.0000 0.0000 0.5000 (multiplicity 3)

Most stable: version a (next structure +1965 meV/atom)

Version a
BaTl3Re | GGA-PBE | optimized geometry

Calculated values
Total magnetization ... 0.00 μB/f.u.

Cell: 5.3879 5.3879 5.3879 Å, 90.00 90.00 90.00°
Space group Pm-3m (No. 221)
One atom of each set of equivalent atoms:
Ba: 0.0000 0.0000 0.0000 (multiplicity 1)
Tl: 0.0000 0.5000 0.5000 (multiplicity 3)
Re: 0.5000 0.5000 0.5000 (multiplicity 1)

Version b
BaTl3Re | GGA-PBE | optimized geometry

Calculated values
Total magnetization ... 0.00 μB/f.u.

Cell: 6.1562 6.1562 6.1562 Å, 90.00 90.00 90.00°
Space group Pm-3m (No. 221)
One atom of each set of equivalent atoms:
Ba: 0.0000 0.0000 0.0000 (multiplicity 1)
Tl: 0.0000 0.0000 0.5000 (multiplicity 3)
Re: 0.5000 0.5000 0.5000 (multiplicity 1)

Most stable: version a (next structure +2129 meV/atom)

Version a
BaVRe2 | GGA-PBE | optimized geometry

Calculated values
Total magnetization ... 0.02 μB/f.u.

Cell: 5.0418 5.0418 16.6628 Å, 90.00 90.00 90.00°
Space group I4_1/amd (No. 141, origin choice 2)
One atom of each set of equivalent atoms:
Ba: 0.0000 0.2500 0.3750 (multiplicity 4)
V: 0.0000 0.2500 0.8750 (multiplicity 4)
Re: 0.0000 0.0000 0.0000 (multiplicity 8)

Version b
BaVRe2 | GGA-PBE | optimized geometry

Calculated values
Total magnetization ... 0.26 μB/f.u.

Cell: 6.6481 6.6481 6.6481 Å, 90.00 90.00 90.00°
Space group Fm-3m (No. 225)
One atom of each set of equivalent atoms:
Ba: 0.0000 0.0000 0.0000 (multiplicity 4)
V: 0.0000 0.0000 0.5000 (multiplicity 4)
Re: 0.2500 0.2500 0.2500 (multiplicity 8)

Most stable: version a (next structure +238 meV/atom)

Version a
BaV3Re | GGA-PBE | optimized geometry

Calculated values
Total magnetization ... 6.01 μB/f.u.

Cell: 4.9010 4.9010 4.9010 Å, 90.00 90.00 90.00°
Space group Pm-3m (No. 221)
One atom of each set of equivalent atoms:
Ba: 0.0000 0.0000 0.0000 (multiplicity 1)
V: 0.0000 0.5000 0.5000 (multiplicity 3)
Re: 0.5000 0.5000 0.5000 (multiplicity 1)

Version b
BaV3Re | GGA-PBE | optimized geometry

Calculated values
Total magnetization ... 1.11 μB/f.u.

Cell: 4.6988 4.6988 4.6988 Å, 90.00 90.00 90.00°
Space group Pm-3m (No. 221)
One atom of each set of equivalent atoms:
Ba: 0.0000 0.0000 0.0000 (multiplicity 1)
V: 0.0000 0.0000 0.5000 (multiplicity 3)
Re: 0.5000 0.5000 0.5000 (multiplicity 1)

Most stable: version a (next structure +1976 meV/atom)

Version a
BaReW | GGA-PBE | optimized geometry

Calculated values
Total magnetization ... 0.00 μB/f.u.

Cell: 6.6322 6.6322 6.6322 Å, 90.00 90.00 90.00°
Space group F-43m (No. 216)
One atom of each set of equivalent atoms:
Ba: 0.0000 0.0000 0.0000 (multiplicity 4)
Re: 0.2500 0.2500 0.2500 (multiplicity 4)
W: 0.0000 0.0000 0.5000 (multiplicity 4)

Version b
BaReW | GGA-PBE | optimized geometry

Calculated values
Total magnetization ... 0.00 μB/f.u.

Cell: 3.2763 3.2763 13.2861 Å, 90.00 90.00 90.00°
Space group I4mm (No. 107)
One atom of each set of equivalent atoms:
Ba: 0.0000 0.0000 0.0000 (multiplicity 2)
Re: 0.0000 0.0000 0.2977 (multiplicity 2)
W: 0.0000 0.0000 0.7125 (multiplicity 2)

Version c
BaReW | GGA-PBE | optimized geometry

Calculated values
Total magnetization ... 0.00 μB/f.u.

Cell: 4.2170 4.2170 5.6112 Å, 90.00 90.00 120.00°
Space group P-6m2 (No. 187)
One atom of each set of equivalent atoms:
Ba: 0.0000 0.0000 0.0000 (multiplicity 1)
Re: 0.6667 0.3333 0.5000 (multiplicity 1)
W: 0.3333 0.6667 0.5000 (multiplicity 1)

Most stable: version b (next structure +178 meV/atom)

Version a
BaReW | GGA-PBE | optimized geometry

Calculated values
Total magnetization ... 0.00 μB/f.u.

Cell: 3.3563 5.0113 15.6542 Å, 90.00 90.00 90.00°
Space group Fmm2 (No. 42)
One atom of each set of equivalent atoms:
Ba: 0.0000 0.0000 0.0000 (multiplicity 4)
Re: 0.0000 0.0000 0.3133 (multiplicity 4)
W: 0.0000 0.0000 0.6952 (multiplicity 4)

Version b
BaReW | GGA-PBE | optimized geometry

Calculated values
Total magnetization ... 0.00 μB/f.u.

Cell: 3.3574 3.3574 7.6700 Å, 90.00 90.00 120.00°
Space group P3m1 (No. 156)
One atom of each set of equivalent atoms:
Ba: 0.0000 0.0000 0.0000 (multiplicity 1)
Re: 0.6667 0.3333 0.3907 (multiplicity 1)
W: 0.3333 0.6667 0.5894 (multiplicity 1)

Most stable: version a (next structure +39 meV/atom)

Version a
BaYRe | GGA-PBE | optimized geometry

Calculated values
Total magnetization ... 0.00 μB/f.u.

Cell: 7.0911 7.0911 7.0911 Å, 90.00 90.00 90.00°
Space group F-43m (No. 216)
One atom of each set of equivalent atoms:
Ba: 0.0000 0.0000 0.0000 (multiplicity 4)
Y: 0.0000 0.0000 0.5000 (multiplicity 4)
Re: 0.2500 0.2500 0.2500 (multiplicity 4)

Version b
BaYRe | GGA-PBE | optimized geometry

Calculated values
Total magnetization ... 0.00 μB/f.u.

Cell: 3.5678 3.5678 14.3274 Å, 90.00 90.00 90.00°
Space group I4mm (No. 107)
One atom of each set of equivalent atoms:
Ba: 0.0000 0.0000 0.0000 (multiplicity 2)
Y: 0.0000 0.0000 0.2515 (multiplicity 2)
Re: 0.0000 0.0000 0.6491 (multiplicity 2)

Most stable: version b (next structure +240 meV/atom)

Version a
BaYRe | GGA-PBE | optimized geometry

Calculated values
Total magnetization ... 0.00 μB/f.u.

Cell: 3.5939 3.5939 8.0847 Å, 90.00 90.00 120.00°
Space group P3m1 (No. 156)
One atom of each set of equivalent atoms:
Ba: 0.0000 0.0000 0.0000 (multiplicity 1)
Y: 0.6667 0.3333 0.5337 (multiplicity 1)
Re: 0.3333 0.6667 0.2937 (multiplicity 1)

Version b
BaYRe | GGA-PBE | optimized geometry

Calculated values
Total magnetization ... 0.31 μB/f.u.

Cell: 6.9756 6.9756 6.9756 Å, 90.00 90.00 90.00°
Space group F-43m (No. 216)
One atom of each set of equivalent atoms:
Ba: 0.0000 0.0000 0.0000 (multiplicity 4)
Y: 0.2500 0.2500 0.7500 (multiplicity 4)
Re: 0.2500 0.2500 0.2500 (multiplicity 4)

Most stable: version a (next structure +922 meV/atom)

Version a
BaYRe3 | GGA-PBE | optimized geometry

Calculated values
Total magnetization ... 1.68 μB/f.u.

Cell: 5.0098 5.0098 5.0098 Å, 90.00 90.00 90.00°
Space group Pm-3m (No. 221)
One atom of each set of equivalent atoms:
Ba: 0.0000 0.0000 0.0000 (multiplicity 1)
Y: 0.5000 0.5000 0.5000 (multiplicity 1)
Re: 0.0000 0.0000 0.5000 (multiplicity 3)

Version b
BaYRe3 | GGA-PBE | optimized geometry

Calculated values
Total magnetization ... 3.44 μB/f.u.

Cell: 5.0874 5.0874 5.0874 Å, 90.00 90.00 90.00°
Space group Pm-3m (No. 221)
One atom of each set of equivalent atoms:
Ba: 0.0000 0.0000 0.0000 (multiplicity 1)
Y: 0.5000 0.5000 0.5000 (multiplicity 1)
Re: 0.0000 0.5000 0.5000 (multiplicity 3)

Most stable: version b (next structure +558 meV/atom)

Version a
BaZr2Re | GGA-PBE | optimized geometry

Calculated values
Total magnetization ... 0.00 μB/f.u.

Cell: 3.7176 3.7178 7.9804 Å, 90.00 90.06 90.00°
Space group Pm (No. 6)
One atom of each set of equivalent atoms:
Ba: 0.0000 0.0000 0.0000 (multiplicity 1)
Zr: 0.4984 0.5000 0.6455 (multiplicity 1)
Zr: 0.9981 0.0000 0.4365 (multiplicity 1)
Re: 0.4980 0.5000 0.3175 (multiplicity 1)

Version b
BaZr2Re | GGA-PBE | optimized geometry

Calculated values
Total magnetization ... 0.59 μB/f.u.

Cell: 3.3928 4.5409 15.3868 Å, 90.00 90.00 90.00°
Space group Imm2 (No. 44)
One atom of each set of equivalent atoms:
Ba: 0.0000 0.0000 0.0000 (multiplicity 2)
Zr: 0.0000 0.0000 0.6745 (multiplicity 2)
Zr: 0.0000 0.5000 0.8079 (multiplicity 2)
Re: 0.0000 0.5000 0.3047 (multiplicity 2)

Version c
BaZr2Re | GGA-PBE | optimized geometry

Calculated values
Total magnetization ... 0.00 μB/f.u.

Cell: 4.3611 4.3611 9.7560 Å, 90.00 90.00 90.00°
Space group I-4m2 (No. 119)
One atom of each set of equivalent atoms:
Ba: 0.0000 0.0000 0.0000 (multiplicity 2)
Zr: 0.0000 0.0000 0.5000 (multiplicity 2)
Zr: 0.0000 0.5000 0.2500 (multiplicity 2)
Re: 0.0000 0.5000 0.7500 (multiplicity 2)

Most stable: version a (next structure +14 meV/atom)

Version a
Ba5Rh | GGA-PBE | optimized geometry

Calculated values
Total magnetization ... 0.00 μB/f.u.

Cell: 12.5109 4.5972 10.6878 Å, 90.00 90.00 90.00°
Space group Pmma (No. 51)
One atom of each set of equivalent atoms:
Ba: 0.0000 0.0000 0.0000 (multiplicity 2)
Ba: 0.0927 0.5000 0.3100 (multiplicity 4)
Ba: 0.2500 0.0000 0.6274 (multiplicity 2)
Ba: 0.2500 0.5000 0.9752 (multiplicity 2)
Rh: 0.2500 0.0000 0.1716 (multiplicity 2)

Version b
Ba5Rh | GGA-PBE | optimized geometry

Calculated values
Total magnetization ... 0.00 μB/f.u.

Cell: 9.3544 9.3544 4.4251 Å, 90.00 90.00 120.00°
Space group P-62m (No. 189)
One atom of each set of equivalent atoms:
Ba: 0.0000 0.7640 0.0000 (multiplicity 3)
Ba: 0.3333 0.6667 0.5000 (multiplicity 2)
Rh: 0.0000 0.0000 0.5000 (multiplicity 1)

Version c
Ba5Rh | GGA-PBE | optimized geometry

Calculated values
Total magnetization ... 0.00 μB/f.u.

Cell: 14.7829 4.1440 10.7352 Å, 90.00 112.87 90.00°
Space group Cm (No. 8)
One atom of each set of equivalent atoms:
Ba: 0.0000 0.0000 0.0000 (multiplicity 2)
Ba: 0.0619 0.0000 0.3822 (multiplicity 2)
Ba: 0.2197 0.5000 0.8293 (multiplicity 2)
Ba: 0.2818 0.5000 0.2119 (multiplicity 2)
Ba: 0.3909 0.0000 0.6060 (multiplicity 2)
Rh: 0.3913 0.0000 0.1066 (multiplicity 2)

Most stable: version a (next structure +45 meV/atom)

Version a
Ba5Rh | GGA-PBE | optimized geometry

Calculated values
Total magnetization ... 0.01 μB/f.u.

Cell: 4.4469 20.5612 6.7296 Å, 90.00 90.00 90.00°
Space group Cmmm (No. 65)
One atom of each set of equivalent atoms:
Ba: 0.0000 0.0000 0.0000 (multiplicity 2)
Ba: 0.0000 0.1035 0.5000 (multiplicity 4)
Ba: 0.0000 0.3335 0.0000 (multiplicity 4)
Rh: 0.0000 0.5000 0.5000 (multiplicity 2)

Version b
Ba5Rh | GGA-PBE | optimized geometry

Calculated values
Total magnetization ... 0.46 μB/f.u.

Cell: 4.0641 4.0641 17.8690 Å, 90.00 90.00 90.00°
Space group P4/mmm (No. 123)
One atom of each set of equivalent atoms:
Ba: 0.0000 0.0000 0.0000 (multiplicity 1)
Ba: 0.0000 0.0000 0.4017 (multiplicity 2)
Ba: 0.5000 0.5000 0.1933 (multiplicity 2)
Rh: 0.5000 0.5000 0.5000 (multiplicity 1)

Most stable: version b (next structure +76 meV/atom)